# 1
# ZnHg3

A geometry-optimized ZnHg3 structure (PBE, Alexandria via LeMat-Bulk).

Its space group is Pm-3n, No. 223. For the spin magnetization, the calculation gives 0.0 Bohr magnetons per cell. As for the distance to the lowest polymorph of the same formula: 92 meV/atom.

Cell: 5.8316 5.8316 5.8316 Å, 90.00 90.00 90.00°
Last column: nearest neighbours and their distance in Å.
Positions (direct):
Hg (0.7500, 0.5000, 0.0000)  2 Hg 2.92, 4 Zn 3.26
Hg (0.0000, 0.2500, 0.5000)  2 Hg 2.92, 4 Zn 3.26
Hg (0.0000, 0.7500, 0.5000)  2 Hg 2.92, 4 Zn 3.26
Hg (0.2500, 0.5000, 0.0000)  2 Hg 2.92, 4 Zn 3.26
Hg (0.5000, 0.0000, 0.7500)  2 Hg 2.92, 4 Zn 3.26
Hg (0.5000, 0.0000, 0.2500)  2 Hg 2.92, 4 Zn 3.26
Zn (0.5000, 0.5000, 0.5000)  12 Hg 3.26
Zn (0.0000, 0.0000, 0.0000)  12 Hg 3.26

---

# 2
# K2LaThS4

A geometry-optimized K2LaThS4 structure (PBE, Alexandria via LeMat-Bulk).

Its space group is P2/m, No. 10. As for the energy relative to the elements, uncorrected: -1791 meV/atom. For the spin magnetization, the calculation gives 0.0 Bohr magnetons per cell.

Cell: 4.1951 7.2865 7.7983 Å, 107.98 90.00 90.00°
Last column: nearest neighbours and their distance in Å.
Positions (direct):
S (0.5000, 0.2283, 0.2101)  2 Th 2.86, 1 La 2.93, 1 K 3.19
S (0.0000, 0.7478, 0.2123)  1 Th 2.83, 2 La 2.92
S (0.0000, 0.2522, 0.7877)  1 Th 2.83, 2 La 2.92
S (0.5000, 0.7717, 0.7899)  2 Th 2.86, 1 La 2.93, 1 K 3.19
La (0.5000, 0.5000, 0.0000)  6 S 2.92-2.93
Th (0.0000, 0.0000, 0.0000)  6 S 2.83-2.86
K (0.5000, 0.0000, 0.5000)  6 S 3.19-3.20
K (0.0000, 0.5000, 0.5000)  6 S 3.27-3.29

---

# 3
# NdEr2Sn

A geometry-optimized NdEr2Sn structure (PBE, Alexandria via LeMat-Bulk).

Its space group is P2_1/m, No. 11. For the spin magnetization, the calculation gives 0.0 Bohr magnetons per cell. As for the distance to the lowest polymorph of the same formula: 0 meV/atom.

Cell: 4.7266 4.6392 11.4337 Å, 101.62 90.00 90.00°
Last column: nearest neighbours and their distance in Å.
Positions (direct):
Er (0.7500, 0.0632, 0.1272)  2 Sn 3.23, 6 Er 3.31-3.56
Er (0.2500, 0.9368, 0.8728)  2 Sn 3.23, 6 Er 3.31-3.56
Er (0.7500, 0.4431, 0.8857)  2 Sn 3.30, 8 Er 3.31-3.56
Er (0.2500, 0.5569, 0.1143)  2 Sn 3.30, 8 Er 3.31-3.56
Nd (0.2500, 0.3085, 0.6141)  5 Sn 3.25-3.39
Nd (0.7500, 0.6915, 0.3859)  5 Sn 3.25-3.39
Sn (0.2500, 0.1599, 0.3237)  4 Er 3.23-3.30, 5 Nd 3.25-3.39
Sn (0.7500, 0.8401, 0.6763)  4 Er 3.23-3.30, 5 Nd 3.25-3.39

---

# 4
# Ti3CrGa

A geometry-optimized Ti3CrGa structure (PBE, Alexandria via LeMat-Bulk).

Its space group is Pm-3m, No. 221. For the spin magnetization, the calculation gives 0.8 Bohr magnetons per cell. As for the distance to the lowest polymorph of the same formula: 659 meV/atom.

Cell: 4.6272 4.6272 4.6272 Å, 90.00 90.00 90.00°
Last column: nearest neighbours and their distance in Å.
Positions (direct):
Ti (0.0000, 0.0000, 0.5000)  2 Ga 2.31
Ti (0.5000, 0.0000, 0.0000)  2 Ga 2.31
Ti (0.0000, 0.5000, 0.0000)  2 Ga 2.31
Cr (0.5000, 0.5000, 0.5000)  12 Ti 3.27
Ga (0.0000, 0.0000, 0.0000)  6 Ti 2.31

---

# 5
# GdC6N9

A geometry-optimized GdC6N9 structure (PBE, Alexandria via LeMat-Bulk).

Its space group is Cmcm, No. 63. As for the energy relative to the elements, uncorrected: 2 meV/atom. For the spin magnetization, the calculation gives 13.9 Bohr magnetons per cell.

Cell: 7.1036 7.1036 10.9844 Å, 90.00 90.00 114.67°
Last column: nearest neighbours and their distance in Å.
Positions (direct):
Gd (0.7175, 0.2825, 0.2500)  6 N 2.42-2.44
Gd (0.2825, 0.7175, 0.7500)  6 N 2.42-2.44
N (0.8550, 0.1450, 0.9928)  2 C 1.29
N (0.4350, 0.1431, 0.1064)  1 C 1.18
N (0.4350, 0.1431, 0.3936)  1 C 1.18
N (0.6554, 0.9179, 0.2500)  1 C 1.18
N (0.1431, 0.4350, 0.8936)  1 C 1.18
N (0.5650, 0.8569, 0.6064)  1 C 1.18
N (0.9179, 0.6554, 0.7500)  1 C 1.18
N (0.3446, 0.0821, 0.7500)  1 C 1.18
N (0.8550, 0.1450, 0.5072)  2 C 1.29
N (0.1450, 0.8550, 0.4928)  2 C 1.29
N (0.8569, 0.5650, 0.3936)  1 C 1.18
N (0.1450, 0.8550, 0.0072)  2 C 1.29
N (0.8569, 0.5650, 0.1064)  1 C 1.18
N (0.5650, 0.8569, 0.8936)  1 C 1.18
N (0.5359, 0.4641, 0.7500)  2 C 1.30
N (0.1431, 0.4350, 0.6064)  1 C 1.18
N (0.4641, 0.5359, 0.2500)  2 C 1.30
N (0.0821, 0.3446, 0.2500)  1 C 1.18
C (0.0038, 0.2929, 0.9368)  2 N 1.18-1.29
C (0.7071, 0.9962, 0.9368)  2 N 1.18-1.29
C (0.5590, 0.7367, 0.2500)  2 N 1.18-1.30
C (0.0038, 0.2929, 0.5632)  2 N 1.18-1.29
C (0.4410, 0.2633, 0.7500)  2 N 1.18-1.30
C (0.7367, 0.5590, 0.7500)  2 N 1.18-1.30
C (0.2929, 0.0038, 0.0632)  2 N 1.18-1.29
C (0.9962, 0.7071, 0.4368)  2 N 1.18-1.29
C (0.2633, 0.4410, 0.2500)  2 N 1.18-1.30
C (0.7071, 0.9962, 0.5632)  2 N 1.18-1.29
C (0.9962, 0.7071, 0.0632)  2 N 1.18-1.29
C (0.2929, 0.0038, 0.4368)  2 N 1.18-1.29

---

# 6
# Hg2Ir2Pb

A geometry-optimized Hg2Ir2Pb structure (PBE, Alexandria via LeMat-Bulk).

Its space group is P4/mbm, No. 127. As for the final energy: -39.24 eV/cell. For the spin magnetization, the calculation gives 0.0 Bohr magnetons per cell.

Cell: 7.9958 7.9958 3.1285 Å, 90.00 90.00 90.00°
Last column: nearest neighbours and their distance in Å.
Positions (direct):
Hg (0.1755, 0.6755, 0.5000)  6 Ir 2.79-2.87, 2 Hg 3.13
Hg (0.8245, 0.3245, 0.5000)  6 Ir 2.79-2.87, 2 Hg 3.13
Hg (0.3245, 0.1755, 0.5000)  6 Ir 2.79-2.87, 2 Hg 3.13
Hg (0.6755, 0.8245, 0.5000)  6 Ir 2.79-2.87, 2 Hg 3.13
Ir (0.3802, 0.8802, 0.0000)  1 Ir 2.71, 6 Hg 2.79-2.87
Ir (0.6198, 0.1198, 0.0000)  1 Ir 2.71, 6 Hg 2.79-2.87
Ir (0.1198, 0.3802, 0.0000)  1 Ir 2.71, 6 Hg 2.79-2.87
Ir (0.8802, 0.6198, 0.0000)  1 Ir 2.71, 6 Hg 2.79-2.87
Pb (0.0000, 0.0000, 0.0000)  2 Pb 3.13, 4 Ir 3.19, 8 Hg 3.34
Pb (0.5000, 0.5000, 0.0000)  2 Pb 3.13, 4 Ir 3.19, 8 Hg 3.34

---

# 7
# RbLiTl2Mo

A geometry-optimized RbLiTl2Mo structure (PBE, Alexandria via LeMat-Bulk).

Its space group is P4/mmm, No. 123. For the spin magnetization, the calculation gives 2.2 Bohr magnetons per cell. As for the distance to the lowest polymorph of the same formula: 0 meV/atom.

Cell: 5.5003 5.5003 5.4717 Å, 90.00 90.00 90.00°
Last column: nearest neighbours and their distance in Å.
Positions (direct):
Li (0.0000, 0.0000, 0.5000)  2 Mo 2.74
Rb (0.5000, 0.5000, 0.5000)  8 Tl 3.88, 4 Li 3.89
Mo (0.0000, 0.0000, 0.0000)  2 Li 2.74, 4 Tl 2.75
Tl (0.5000, 0.0000, 0.0000)  2 Mo 2.75
Tl (0.0000, 0.5000, 0.0000)  2 Mo 2.75

---

# 8
# Nd6NiC2Cl3

A geometry-optimized Nd6NiC2Cl3 structure (PBE, Alexandria via LeMat-Bulk).

Its space group is C2/m, No. 12. As for the energy relative to the elements, uncorrected: -941 meV/atom. For the spin magnetization, the calculation gives 0.0 Bohr magnetons per cell.

Cell: 3.8152 8.5072 9.3285 Å, 107.86 101.80 90.00°
Last column: nearest neighbours and their distance in Å.
Positions (direct):
Ni (0.5000, 0.0000, 0.0000)  6 Nd 2.72-2.90
Nd (0.9782, 0.7620, 0.9563)  1 C 2.61, 2 Ni 2.72
Nd (0.6799, 0.5504, 0.3598)  3 C 2.57-2.62
Nd (0.3201, 0.4496, 0.6402)  3 C 2.57-2.62
Nd (0.0218, 0.2380, 0.0437)  1 C 2.61, 2 Ni 2.72
Nd (0.6669, 0.1287, 0.3337)  2 C 2.57
Nd (0.3331, 0.8713, 0.6663)  2 C 2.57
Cl (0.1646, 0.8228, 0.3292)  6 Nd 2.97-3.28
Cl (0.8354, 0.1772, 0.6708)  6 Nd 2.97-3.28
Cl (0.5000, 0.5000, 0.0000)  6 Nd 3.05-3.18
C (0.8278, 0.6649, 0.6557)  6 Nd 2.57-2.62
C (0.1722, 0.3351, 0.3443)  6 Nd 2.57-2.62

---

# 9
# YTc2Br

A geometry-optimized YTc2Br structure (PBE, Alexandria via LeMat-Bulk).

Its space group is Pmmm, No. 47. As for the energy relative to the elements, uncorrected: 405 meV/atom. For the spin magnetization, the calculation gives 0.0 Bohr magnetons per cell. As for the distance to the lowest polymorph of the same formula: 527 meV/atom.

Cell: 3.2458 4.6214 5.8908 Å, 90.00 90.00 90.00°
Last column: nearest neighbours and their distance in Å.
Positions (direct):
Tc (0.0000, 0.0000, 0.0647)  1 Tc 2.18
Tc (0.0000, 0.0000, 0.4353)  1 Tc 2.18
Y (0.5000, 0.5000, 0.2500)  2 Br 2.95, 8 Tc 3.03, 2 Y 3.25
Br (0.5000, 0.5000, 0.7500)  2 Y 2.95, 2 Br 3.25

---

# 10
# Hg4RhW

A geometry-optimized Hg4RhW structure (PBE, Alexandria via LeMat-Bulk).

Its space group is F-43m, No. 216. As for the final energy: -15.14 eV/cell. For the spin magnetization, the calculation gives 3.0 Bohr magnetons per cell.

Cell: 5.5719 5.5719 5.5719 Å, 60.00 60.00 60.00°
Last column: nearest neighbours and their distance in Å.
Positions (direct):
Hg (0.6248, 0.1255, 0.6248)  6 Hg 2.78-2.79
Hg (0.6248, 0.6248, 0.6248)  6 Hg 2.78-2.79
Hg (0.1255, 0.6248, 0.6248)  6 Hg 2.78-2.79
Hg (0.6248, 0.6248, 0.1255)  6 Hg 2.78-2.79
W (0.0000, 0.0000, 0.0000)  12 Hg 3.27, 4 Rh 3.41
Rh (0.2500, 0.2500, 0.2500)  12 Hg 3.27, 4 W 3.41

---

# 11
# LiIn2P

A geometry-optimized LiIn2P structure (PBE, Alexandria via LeMat-Bulk).

Its space group is R-3m, No. 166. As for the final energy: -13.13 eV/cell. For the spin magnetization, the calculation gives 0.0 Bohr magnetons per cell.

Cell: 7.7712 7.7712 7.7712 Å, 28.94 28.94 28.94°
Last column: nearest neighbours and their distance in Å.
Positions (direct):
In (0.4864, 0.4864, 0.4864)  3 P 2.73
In (0.0136, 0.0136, 0.0136)  3 P 2.73
P (0.7500, 0.7500, 0.7500)  6 In 2.73
Li (0.2500, 0.2500, 0.2500)  6 In 3.12

---

# 12
# Zn2CuRu

A geometry-optimized Zn2CuRu structure (PBE, Alexandria via LeMat-Bulk).

Its space group is I-4m2, No. 119. As for the final energy: -15.78 eV/cell. For the spin magnetization, the calculation gives 0.4 Bohr magnetons per cell.

Cell: 4.6882 4.6882 4.6882 Å, 132.89 132.89 68.82°
Last column: nearest neighbours and their distance in Å.
Positions (direct):
Ru (0.7500, 0.2500, 0.5000)  8 Zn 2.65-2.69, 4 Cu 2.69
Zn (0.2500, 0.7500, 0.5000)  4 Ru 2.65, 4 Cu 2.69, 4 Zn 2.69
Zn (0.0000, 0.0000, 0.0000)  4 Cu 2.65, 4 Zn 2.69, 4 Ru 2.69
Cu (0.5000, 0.5000, 0.0000)  8 Zn 2.65-2.69, 4 Ru 2.69

---

# 13
# PIrCS2

A geometry-optimized PIrCS2 structure (PBE, Alexandria via LeMat-Bulk).

Its space group is P4/mmm, No. 123. As for the energy relative to the elements, uncorrected: 1286 meV/atom. For the spin magnetization, the calculation gives 0.0 Bohr magnetons per cell. As for the distance to the lowest polymorph of the same formula: 0 meV/atom.

Cell: 4.0354 4.0354 3.8876 Å, 90.00 90.00 90.00°
Last column: nearest neighbours and their distance in Å.
Positions (direct):
S (0.0000, 0.5000, 0.0000)  2 C 2.02
S (0.5000, 0.0000, 0.0000)  2 C 2.02
Ir (0.5000, 0.5000, 0.5000)  8 S 2.80, 4 P 2.85
C (0.0000, 0.0000, 0.0000)  2 P 1.94, 4 S 2.02
P (0.0000, 0.0000, 0.5000)  2 C 1.94